This record from Alexandria via LeMat-Bulk describes a geometry-optimized KCaP3 structure. The functional is PBE.

For the volume, the calculation gives 140.9 Å³ per cell. The energy comes out at -13.78 eV per cell. The calculation puts the energy above the most stable polymorph in this dataset at 601 meV per atom.

The structure belongs to space group Pm-3m (No. 221); the cell edges are 5.204, 5.204 and 5.204 Å and the angles 90.00°, 90.00° and 90.00°. Symmetry generates all atoms from K at (0.000, 0.000, 0.000), Ca at (0.500, 0.500, 0.500) and P at (0.000, 0.000, 0.500).



This record from Alexandria via LeMat-Bulk describes a geometry-optimized CaMg3Co structure. The functional is PBE.

For the volume, the calculation gives 213.1 Å³ per cell. The energy comes out at -6.25 eV per cell. The calculation puts the energy above the most stable polymorph in this dataset at 1452 meV per atom.

The structure belongs to space group Pm-3m (No. 221); the cell edges are 5.973, 5.973 and 5.973 Å and the angles 90.00°, 90.00° and 90.00°. Symmetry generates all atoms from Ca at (0.000, 0.000, 0.000), Mg at (0.000, 0.000, 0.500) and Co at (0.500, 0.500, 0.500).



This record from Alexandria via LeMat-Bulk describes a geometry-optimized ZrTlMo2W structure. The functional is PBE.

For the volume, the calculation gives 122.2 Å³ per cell. The energy comes out at -32.04 eV per cell.

The structure belongs to space group P4/mmm (No. 123); the cell edges are 4.896, 4.896 and 5.097 Å and the angles 90.00°, 90.00° and 90.00°. Symmetry generates all atoms from Zr at (0.000, 0.000, 0.000), Tl at (0.000, 0.000, 0.500), Mo at (0.000, 0.500, 0.500) and W at (0.500, 0.500, 0.000).



This record from Alexandria via LeMat-Bulk describes a geometry-optimized GaSn2Pb structure. The functional is PBE.

For the volume, the calculation gives 334.0 Å³ per cell. The energy comes out at -43.11 eV per cell. The calculation puts the energy above the most stable polymorph in this dataset at 59 meV per atom.

The structure belongs to space group R-3m (No. 166, hexagonal axes); the cell edges are 4.0914, 4.0914 and 23.0429 Å and the angles 90.00°, 90.00° and 120.00°. Symmetry generates all atoms from Ga at (0.0000, 0.0000, 0.0000), Sn at (0.0000, 0.0000, 0.2646) and Pb at (0.0000, 0.0000, 0.5000).



This record from Alexandria via LeMat-Bulk describes a geometry-optimized TaSe2Br structure. The functional is PBE.

For the volume, the calculation gives 94.7 Å³ per cell. The energy comes out at -21.11 eV per cell. The calculation puts the energy above the most stable polymorph in this dataset at 534 meV per atom.

The structure belongs to space group P4mm (No. 99); the cell edges are 3.121, 3.121 and 9.721 Å and the angles 90.00°, 90.00° and 90.00°. Symmetry generates all atoms from Ta at (0.000, 0.000, 0.000), Se at (0.000, 0.000, 0.521), Se at (0.500, 0.500, 0.846) and Br at (0.500, 0.500, 0.180).



This record from Alexandria via LeMat-Bulk describes a geometry-optimized Tb6Er4Th structure. The functional is PBE.

For the volume, the calculation gives 730.8 Å³ per cell. The energy comes out at -99.78 eV per cell. The calculation puts the energy above the most stable polymorph in this dataset at 177 meV per atom.

The structure belongs to space group I-42m (No. 121); the cell edges are 6.574, 6.574 and 16.911 Å and the angles 90.00°, 90.00° and 90.00°. Symmetry generates all atoms from Tb at (0.000, 0.500, 0.000), Tb at (0.189, 0.189, 0.174), Er at (0.185, 0.185, 0.372) and Th at (0.000, 0.000, 0.000).



This record from Alexandria via LeMat-Bulk describes a geometry-optimized BN structure. The functional is PBE.

For the volume, the calculation gives 43.0 Å³ per cell. The energy comes out at -55.67 eV per cell. The calculation puts the energy above the most stable polymorph in this dataset at 1829 meV per atom.

The structure belongs to space group Fm-3m (No. 225); the cell edges are 3.504, 3.504 and 3.504 Å and the angles 90.00°, 90.00° and 90.00°. Symmetry generates all atoms from B at (0.000, 0.000, 0.000) and N at (0.000, 0.000, 0.500).



This record from Alexandria via LeMat-Bulk describes a geometry-optimized SmTl5F8 structure. The functional is PBE.

For the volume, the calculation gives 556.9 Å³ per cell. The energy comes out at -130.64 eV per cell.

The structure belongs to space group I-4 (No. 82); the cell edges are 7.971, 7.971 and 8.765 Å and the angles 90.00°, 90.00° and 90.00°. Symmetry generates all atoms from Sm at (0.000, 0.000, 0.000), Tl at (0.000, 0.500, 0.750), Tl at (0.108, 0.764, 0.371), F at (0.059, 0.835, 0.779) and F at (0.073, 0.727, 0.082).